! VSnTeN2, relaxed, DFT GGA-PBE; values from VASP
&SYSTEM
  ibrav = 0, nat = 5, ntyp = 4
/
ATOMIC_SPECIES
V 50.94 V.upf
Sn 118.71 Sn.upf
Te 127.60 Te.upf
N 14.01 N.upf
ATOMIC_POSITIONS crystal
V 0.000 0.000 0.000
Sn 0.500 0.500 0.500
Te 0.000 0.000 0.500
N 0.000 0.500 0.000
N 0.500 0.000 0.000
CELL_PARAMETERS angstrom
4.004 0.000 0.000
0.000 4.004 0.000
0.000 0.000 5.432
! Total magnetic moment in μB/f.u.: 0.0
! E_form (uncorrected) in eV/f.u.: 2.6
! Offset from the most stable computed form in eV per atom: 0.000



! TiFeTe3, relaxed, DFT GGA-PBE; values from VASP
&SYSTEM
  ibrav = 0, nat = 5, ntyp = 3
/
ATOMIC_SPECIES
Ti 47.87 Ti.upf
Fe 55.84 Fe.upf
Te 127.60 Te.upf
ATOMIC_POSITIONS crystal
Ti 0.000 0.000 0.000
Fe 0.500 0.500 0.500
Te 0.000 0.000 0.500
Te 0.000 0.500 0.000
Te 0.500 0.000 0.000
CELL_PARAMETERS angstrom
5.303 0.000 0.000
0.000 5.303 0.000
0.000 0.000 5.303
! Total magnetic moment in μB/f.u.: 4.0
! E_form (uncorrected) in eV/f.u.: 2.5



! NdSc2Zn6, relaxed, DFT GGA-PBE; values from VASP
&SYSTEM
  ibrav = 0, nat = 9, ntyp = 3
/
ATOMIC_SPECIES
Nd 144.24 Nd.upf
Sc 44.96 Sc.upf
Zn 65.41 Zn.upf
ATOMIC_POSITIONS crystal
Nd 0.000 0.000 0.000
Sc 0.333 0.667 0.000
Sc 0.667 0.333 0.000
Zn 0.000 0.341 0.500
Zn 0.000 0.659 0.500
Zn 0.341 0.000 0.500
Zn 0.341 0.341 0.500
Zn 0.659 0.000 0.500
Zn 0.659 0.659 0.500
CELL_PARAMETERS angstrom
7.727 0.000 0.000
-3.863 6.691 0.000
0.000 0.000 3.300
! E_form in eV per atom: -0.324
! Total magnetic moment in μB/f.u.: 0.0